# Cs3Na2ReO6

A geometry-optimized Cs3Na2ReO6 structure (GGA-PBE, OQMD).

Lattice parameters (Å, degrees): 6.9579 6.9579 5.8371 97.28 97.28 121.53
Closest atoms and distances in Å follow each position.
Fractional coordinates of all 12 atoms:
Cs1 0.6777 0.3223 0.0000  6 O 2.89-3.04
Cs2 0.3223 0.6777 0.0000  6 O 2.89-3.04
Cs3 0.5000 0.5000 0.5000  6 O 2.88-3.10
Na1 0.8861 0.1139 0.5000  4 O 2.27-2.34
Na2 0.1139 0.8861 0.5000  4 O 2.27-2.34
O1 0.8128 0.8128 0.1974  1 Re 1.93
O2 0.2677 0.0435 0.1994  1 Re 1.92
O3 0.0435 0.2677 0.1994  1 Re 1.92
O4 0.9565 0.7323 0.8006  1 Re 1.92
O5 0.7323 0.9565 0.8006  1 Re 1.92
O6 0.1872 0.1872 0.8026  1 Re 1.93
Re1 0.0000 0.0000 0.0000  6 O 1.92-1.93

Computed properties:
As for the space group: C2/m, No. 12. The energy above the lowest structure with this stoichiometry comes out at 0 meV/atom. The total magnetic moment is 0.00 μB/cell. As for the density: 5189 kg/m³.

# LiBe2W

A geometry-optimized LiBe2W structure (GGA-PBE, OQMD).

Lattice parameters (Å, degrees): 3.9312 3.9312 3.9312 60.00 60.00 60.00
Closest atoms and distances in Å follow each position.
Fractional coordinates of all 4 atoms:
Be1 0.0000 0.0000 0.0000  4 W 2.41, 4 Be 2.41
Be2 0.7500 0.7500 0.7500  4 Li 2.41, 4 Be 2.41
Li1 0.5000 0.5000 0.5000  4 Be 2.41, 4 W 2.41
W1 0.2500 0.2500 0.2500  4 Li 2.41, 4 Be 2.41

Computed properties:
As for the space group: F-43m, No. 216. The total magnetic moment is 0.34 μB/cell. As for the density: 8071 kg/m³. The calculation puts the total energy at -5.005 eV per atom.